First-principles (PBE-GGA) data for crystalline Ba8Rh3Au at its relaxed geometry, as listed in Alexandria via LeMat-Bulk.

formation energy from the elements	-0.26	eV per atom
space-group type	C2/m

Cell and atoms, written as POSCAR:
```
Ba8Rh3Au
1.0
-0.1614 -0.1582 -9.2685
1.5617 -7.7964 4.7429
-8.1200 3.9210 0.0745
Rh Ba Au
3 8 1
Direct
0.0000 0.5000 0.0000
0.5000 0.0000 0.0000
0.5000 0.5000 0.0000
0.7437 0.4873 0.2302
0.2740 0.0220 0.7710
0.7481 0.4962 0.7711
0.7481 0.0220 0.7710
0.7260 0.9780 0.2290
0.2519 0.9780 0.2290
0.2563 0.5127 0.7698
0.2519 0.5038 0.2289
0.0000 0.0000 0.0000
```